Entry 1:
Compound: ZnMoIr2
Source: Alexandria
Functional: PBEsol
Structure: relaxed

Computed properties:
Energy of formation from the pure elements in meV per atom: 179
Fermi-level density of states in states/eV/f.u.: 3.146
Volume in Å³/atom: 14.50

abc: 2.6846 2.6846 9.0109
angles: 90.00 90.00 116.74
With the nearest neighbours (Å) after each atom.
Sites, in units of the cell vectors:
Ir1 0.0000 0.0000 0.0072  2 Zn 2.56, 8 Ir 2.68-2.82
Ir2 0.5000 0.5000 0.7459  2 Mo 2.61, 8 Ir 2.68-2.82
Zn1 0.5000 0.5000 0.2450  2 Ir 2.56, 6 Zn 2.68-2.82, 2 Mo 2.71
Mo1 0.0000 0.0000 0.5019  2 Ir 2.61, 6 Mo 2.68-2.82, 2 Zn 2.71

Entry 2:
Compound: ZnMo2Ir
Source: Alexandria
Functional: PBEsol
Structure: relaxed

Computed properties:
Energy of formation from the pure elements in meV per atom: -39
Fermi-level density of states in states/eV/f.u.: 3.166
Volume in Å³/atom: 14.33

abc: 3.6722 3.6722 4.9818
angles: 111.63 111.63 90.00
With the nearest neighbours (Å) after each atom.
Sites, in units of the cell vectors:
Ir1 0.0000 0.0000 0.0000  4 Zn 2.60, 8 Mo 2.81
Zn1 0.5000 0.5000 0.0000  4 Ir 2.60, 8 Mo 2.81
Mo1 0.2500 0.7500 0.5000  4 Mo 2.60, 4 Zn 2.81, 4 Ir 2.81
Mo2 0.7500 0.2500 0.5000  4 Mo 2.60, 4 Zn 2.81, 4 Ir 2.81

Entry 3:
Compound: Zn3MoIr
Source: Alexandria
Functional: PBEsol
Structure: relaxed

Computed properties:
Energy of formation from the pure elements in meV per atom: 1057
Fermi-level density of states in states/eV/f.u.: 2.217
Volume in Å³/atom: 20.07

abc: 4.6468 4.6468 4.6468
angles: 90.00 90.00 90.00
With the nearest neighbours (Å) after each atom.
Sites, in units of the cell vectors:
Ir1 0.0000 0.0000 0.0000  6 Zn 2.32
Zn1 0.0000 0.0000 0.5000  2 Ir 2.32
Zn2 0.5000 0.0000 0.0000  2 Ir 2.32
Zn3 0.0000 0.5000 0.0000  2 Ir 2.32
Mo1 0.5000 0.5000 0.5000  12 Zn 3.29

Entry 4:
Compound: ZnMoIr2
Source: Alexandria
Functional: PBEsol
Structure: relaxed

Computed properties:
Energy of formation from the pure elements in meV per atom: -221
Fermi-level density of states in states/eV/f.u.: 2.876
Volume in Å³/atom: 14.12

abc: 2.7729 3.6984 5.5063
angles: 90.00 90.00 90.00
With the nearest neighbours (Å) after each atom.
Sites, in units of the cell vectors:
Mo1 0.5000 0.5000 0.0000  8 Ir 2.69, 2 Zn 2.75, 2 Mo 2.77
Ir1 0.0000 0.0000 0.7484  4 Zn 2.69, 4 Mo 2.69, 4 Ir 2.74-2.77
Ir2 0.0000 0.0000 0.2516  4 Zn 2.69, 4 Mo 2.69, 4 Ir 2.74-2.77
Zn1 0.5000 0.5000 0.5000  8 Ir 2.69, 2 Mo 2.75, 2 Zn 2.77

Entry 5:
Compound: Zr2MoIr
Source: Alexandria
Functional: PBEsol
Structure: relaxed

Computed properties:
Energy of formation from the pure elements in meV per atom: -459
Fermi-level density of states in states/eV/f.u.: 3.647
Volume in Å³/atom: 17.62

abc: 3.2350 3.3414 6.5191
angles: 90.00 90.00 90.00
With the nearest neighbours (Å) after each atom.
Sites, in units of the cell vectors:
Mo1 0.5000 0.5000 0.5000  8 Zr 2.84
Ir1 0.5000 0.5000 0.0000  8 Zr 2.84
Zr1 0.0000 0.0000 0.2495  4 Ir 2.84, 4 Mo 2.84
Zr2 0.0000 0.0000 0.7505  4 Ir 2.84, 4 Mo 2.84

Entry 6:
Compound: ZrMoIr2
Source: Alexandria
Functional: PBEsol
Structure: relaxed

Computed properties:
Energy of formation from the pure elements in meV per atom: -119
Fermi-level density of states in states/eV/f.u.: 7.382
Volume in Å³/atom: 16.17

abc: 4.5056 4.5056 4.5056
angles: 60.00 60.00 60.00
With the nearest neighbours (Å) after each atom.
Sites, in units of the cell vectors:
Zr1 0.5000 0.5000 0.5000  8 Ir 2.76
Ir1 0.2500 0.2500 0.2500  4 Zr 2.76, 4 Mo 2.76
Ir2 0.7500 0.7500 0.7500  4 Mo 2.76, 4 Zr 2.76
Mo1 0.0000 0.0000 0.0000  8 Ir 2.76

Question: volume of number 1 (ZnMoIr2)?
Answer: 14.50 Å³/atom

Question: What is the formula in the fifth record?
Answer: Zr2MoIr